# 1
NaHgSe (PBE, optimized geometry); E_form (uncorrected) = -357 meV per atom; E_tot = -2.06 eV/atom; energy relative to the lowest polymorph listed for this composition = 232 meV per atom; DOS(E_F) = 2.35 states/eV/f.u.; symmetry = No. 107
1.0
-3.8052 -0.2398 -1.3162
-0.6540 -3.1283 2.4607
0.9263 4.5146 2.6798
Se Hg Na
1 1 1
Direct
0.9515 0.9515 0.9029
0.2873 0.2873 0.5746
0.6113 0.6113 0.2225

***

# 2
BiSO4 (PBE, optimized geometry); E_form (uncorrected) = -1052 meV per atom; E_tot = -5.69 eV/atom; DOS(E_F) = 1.88 states/eV/f.u.; symmetry = No. 141
1.0
6.3986 -0.2964 0.0000
-2.9929 5.6632 0.0000
-1.7028 -2.6834 5.5614
O S Bi
8 2 2
Direct
0.5457 0.8939 0.6518
0.2043 0.3561 0.8482
0.1061 0.4543 0.3482
0.6439 0.4921 0.8482
0.5079 0.3561 0.1518
0.6439 0.7957 0.1518
0.1061 0.7579 0.6518
0.2421 0.8939 0.3482
0.2500 0.7500 0.5000
0.5000 0.5000 0.0000
0.7500 0.2500 0.5000
0.0000 0.0000 0.0000

***

# 3
SmGdTlSn (PBE, optimized geometry); formation energy = -495 meV/atom; E_tot = -6.79 eV/atom; DOS(E_F) = 3.57 states/eV/f.u.; symmetry = No. 216
1.0
-0.1762 2.2235 4.9457
-4.6532 2.0559 1.8857
-2.6482 -2.5150 4.0121
Sm Tl Gd Sn
1 1 1 1
Direct
0.5000 0.5000 0.5000
0.7500 0.7500 0.7500
0.0000 0.0000 0.0000
0.2500 0.2500 0.2500